## 1
{"formula": "YPaPb2", "functional": "PBE", "state": "relaxed", "sg": "P4/mmm, No. 123", "dos_ef_per_ev_atom": 1.35, "vol_a3_per_cell": 111.4, "magnetic_moment_mub_per_fu": 1.02, "cell": [[5.805, 0.000, 0.000], [0.000, 5.805, 0.000], [0.000, 0.000, 3.305]], "species": ["Y", "Pa", "Pb", "Pb"], "fractional_positions": [[0.000, 0.000, 0.000], [0.500, 0.500, 0.000], [0.000, 0.500, 0.500], [0.500, 0.000, 0.500]]}

## 2
{"formula": "YPaPb2", "functional": "PBE", "state": "relaxed", "sg": "P4/mmm, No. 123", "dos_ef_per_ev_atom": 1.57, "vol_a3_per_cell": 110.4, "magnetic_moment_mub_per_fu": 0.85, "cell": [[3.485, 0.000, 0.000], [0.000, 3.485, 0.000], [0.000, 0.000, 9.090]], "species": ["Y", "Pa", "Pb", "Pb"], "fractional_positions": [[0.000, 0.000, 0.000], [0.000, 0.000, 0.500], [0.500, 0.500, 0.248], [0.500, 0.500, 0.752]]}

It is 1 that is most stable; the runner-up trails by 10 meV/atom.

## 1
{"formula": "PaZn2Pb", "functional": "PBE", "state": "relaxed", "sg": "Fm-3m, No. 225", "dos_ef_per_ev_atom": 1.14, "vol_a3_per_cell": 87.3, "magnetic_moment_mub_per_fu": 0.64, "cell": [[0.000, 3.521, 3.521], [3.521, 0.000, 3.521], [3.521, 3.521, 0.000]], "species": ["Pa", "Zn", "Zn", "Pb"], "fractional_positions": [[0.000, 0.000, 0.000], [0.250, 0.250, 0.250], [0.750, 0.750, 0.750], [0.500, 0.500, 0.500]]}

## 2
{"formula": "PaZn2Pb", "functional": "PBE", "state": "relaxed", "sg": "P4/mmm, No. 123", "dos_ef_per_ev_atom": 1.23, "vol_a3_per_cell": 89.0, "magnetic_moment_mub_per_fu": 0.56, "cell": [[4.513, 0.000, 0.000], [0.000, 4.513, 0.000], [0.000, 0.000, 4.370]], "species": ["Pa", "Zn", "Zn", "Pb"], "fractional_positions": [[0.000, 0.000, 0.000], [0.000, 0.500, 0.500], [0.500, 0.000, 0.500], [0.500, 0.500, 0.000]]}

It is 2 that is most stable; the runner-up trails by 133 meV/atom.

## 1
{"formula": "Pa4Pd", "functional": "PBE", "state": "relaxed", "sg": "C2/m, No. 12", "dos_ef_per_ev_atom": 2.35, "vol_a3_per_cell": 243.1, "magnetic_moment_mub_per_fu": 0.00, "cell": [[5.893, -3.267, 0.000], [5.893, 3.267, 0.000], [-0.933, 0.000, 6.315]], "species": ["Pa", "Pa", "Pa", "Pa", "Pa", "Pa", "Pa", "Pa", "Pd", "Pd"], "fractional_positions": [[0.038, 0.038, 0.268], [0.138, 0.576, 0.356], [0.409, 0.409, 0.833], [0.424, 0.862, 0.644], [0.576, 0.138, 0.356], [0.591, 0.591, 0.167], [0.862, 0.424, 0.644], [0.962, 0.962, 0.732], [0.204, 0.204, 0.005], [0.796, 0.796, 0.995]]}

## 2
{"formula": "Pa4Pd", "functional": "PBE", "state": "relaxed", "sg": "Pm-3m, No. 221", "dos_ef_per_ev_atom": 2.26, "vol_a3_per_cell": 149.1, "magnetic_moment_mub_per_fu": 0.00, "cell": [[5.302, 0.000, 0.000], [0.000, 5.302, 0.000], [0.000, 0.000, 5.302]], "species": ["Pa", "Pa", "Pa", "Pa", "Pd"], "fractional_positions": [[0.000, 0.000, 0.000], [0.000, 0.500, 0.500], [0.500, 0.000, 0.500], [0.500, 0.500, 0.000], [0.500, 0.500, 0.500]]}

It is 1 that is most stable; the runner-up trails by 715 meV/atom.